# 1
First-principles (PBE-GGA) data for a geometry-optimized TlZnGe2 structure, as listed in OQMD.

Properties
* symmetry: F-43m, No. 216
* calculated volume: 21.57 A^3/atom
* calculated total energy: -11.6 eV per cell

Cell lengths 4.9596, 4.9596, 4.9596 Å; angles 60.00, 60.00, 60.00 degrees
Closest atoms and distances in Å follow each position.
Sites, in units of the cell vectors:
Tl (0.0000, 0.0000, 0.0000)  4 Ge 3.04, 4 Zn 3.04
Zn (0.2500, 0.2500, 0.2500)  4 Ge 3.04, 4 Tl 3.04
Ge (0.5000, 0.5000, 0.5000)  4 Ge 3.04, 4 Zn 3.04
Ge (0.7500, 0.7500, 0.7500)  4 Ge 3.04, 4 Tl 3.04

=====

# 2
First-principles (PBE-GGA) data for a geometry-optimized Zr3TlGe5 structure, as listed in OQMD.

Properties
* symmetry: P6/mmm, No. 191
* magnetization: 0.0 μB per cell
* calculated volume: 23.35 A^3/atom
* calculated total energy: -51.7 eV per cell

Cell lengths 5.9250, 5.9250, 6.9123 Å; angles 90.00, 90.00, 120.00 degrees
Closest atoms and distances in Å follow each position.
Sites, in units of the cell vectors:
Zr (0.0000, 0.5000, 0.0000)  6 Ge 2.82-2.96, 4 Zr 2.96
Zr (0.5000, 0.0000, 0.0000)  6 Ge 2.82-2.96, 4 Zr 2.96
Zr (0.5000, 0.5000, 0.0000)  6 Ge 2.82-2.96, 4 Zr 2.96
Tl (0.0000, 0.0000, 0.5000)  14 Ge 3.46-3.63
Ge (0.0000, 0.0000, 0.0000)  6 Zr 2.96
Ge (0.3333, 0.6667, 0.3246)  1 Ge 2.43
Ge (0.3333, 0.6667, 0.6754)  1 Ge 2.43
Ge (0.6667, 0.3333, 0.3246)  1 Ge 2.43
Ge (0.6667, 0.3333, 0.6754)  1 Ge 2.43

=====

# 3
First-principles (PBE-GGA) data for a geometry-optimized Tm2Ge structure, as listed in OQMD.

Properties
* symmetry: Fd-3m, No. 227
* magnetization: 0.0 μB per cell
* calculated volume: 79.89 A^3/atom
* calculated total energy: -21.0 eV per cell

Cell lengths 8.7845, 8.7845, 8.7845 Å; angles 60.00, 60.00, 60.00 degrees
Closest atoms and distances in Å follow each position.
Sites, in units of the cell vectors:
Tm (0.0000, 0.0000, 0.0000)  2 Ge 2.69
Tm (0.0000, 0.0000, 0.5000)  2 Ge 2.69
Tm (0.0000, 0.5000, 0.0000)  2 Ge 2.69
Tm (0.5000, 0.0000, 0.0000)  2 Ge 2.69
Ge (0.1250, 0.1250, 0.1250)  4 Tm 2.69
Ge (0.8750, 0.8750, 0.8750)  4 Tm 2.69